Record 1
# Na5Pr2F13, optimized geometry, DFT PBE
data_Na5Pr2F13
_chemical_formula_sum 'Na10 Pr4 F26'
_cell_length_a 11.516
_cell_length_b 5.452
_cell_length_c 8.553
_cell_angle_alpha 90.00
_cell_angle_beta 97.25
_cell_angle_gamma 90.00
_space_group_name_H-M_alt 'C 1 2/m 1'
_space_group_IT_number 12
loop_
_space_group_symop_operation_xyz
'x,y,z'
'-x,-y,-z'
'-x,y,-z'
'x,-y,z'
'x+1/2,y+1/2,z'
'-x+1/2,-y+1/2,-z'
'-x+1/2,y+1/2,-z'
'x+1/2,-y+1/2,z'
loop_
_atom_site_label
_atom_site_fract_x
_atom_site_fract_y
_atom_site_fract_z
Na1 0.000 0.000 0.000
Na2 0.162 0.000 0.428
Na3 0.219 0.500 0.159
Pr1 0.081 0.500 0.754
F1 0.000 0.500 0.500
F2 0.073 0.236 0.236
F3 0.145 0.242 0.956
F4 0.197 0.236 0.637
# * uncorrected energy: -4.89 eV/atom
# * magnetization: 2.00 μB per formula unit

Record 2
# CuAg9, optimized geometry, DFT PBE
data_CuAg9
_chemical_formula_sum 'Cu2 Ag18'
_cell_length_a 5.027
_cell_length_b 7.697
_cell_length_c 9.219
_cell_angle_alpha 97.02
_cell_angle_beta 100.41
_cell_angle_gamma 90.14
_space_group_name_H-M_alt 'P -1'
_space_group_IT_number 2
loop_
_space_group_symop_operation_xyz
'x,y,z'
'-x,-y,-z'
loop_
_atom_site_label
_atom_site_fract_x
_atom_site_fract_y
_atom_site_fract_z
Cu1 0.143 0.355 0.451
Ag1 0.000 0.000 0.500
Ag2 0.052 0.449 0.155
Ag3 0.102 0.895 0.795
Ag4 0.197 0.800 0.103
Ag5 0.254 0.249 0.743
Ag6 0.295 0.694 0.405
Ag7 0.350 0.150 0.049
Ag8 0.396 0.595 0.692
Ag9 0.441 0.057 0.353
Ag10 0.500 0.500 0.000
# * energy above the most stable polymorph in this dataset: 11 meV per atom
# * ΔE_f: 29 meV per atom

Record 3
# Li4MgAl2Zn, optimized geometry, DFT PBE
data_Li4MgAl2Zn
_chemical_formula_sum 'Li4 Mg1 Al2 Zn1'
_cell_length_a 4.426
_cell_length_b 4.426
_cell_length_c 6.532
_cell_angle_alpha 90.00
_cell_angle_beta 90.00
_cell_angle_gamma 90.00
_space_group_name_H-M_alt 'P -4 m 2'
_space_group_IT_number 115
loop_
_space_group_symop_operation_xyz
'x,y,z'
'y,-x,-z'
'-x,-y,z'
'-y,x,-z'
'-x,y,z'
'-y,-x,-z'
'x,-y,z'
'y,x,-z'
loop_
_atom_site_label
_atom_site_fract_x
_atom_site_fract_y
_atom_site_fract_z
Li1 0.000 0.000 0.000
Li2 0.000 0.500 0.726
Li3 0.500 0.500 0.500
Mg1 0.500 0.500 0.000
Al1 0.000 0.500 0.272
Zn1 0.000 0.000 0.500
# * uncorrected energy: -2.41 eV/atom

Record 4
# Ta8Re7, optimized geometry, DFT PBE
data_Ta8Re7
_chemical_formula_sum 'Ta16 Re14'
_cell_length_a 9.858
_cell_length_b 9.858
_cell_length_c 5.175
_cell_angle_alpha 90.00
_cell_angle_beta 90.00
_cell_angle_gamma 90.00
_space_group_name_H-M_alt 'P 42/m n m'
_space_group_IT_number 136
_space_group_name_Hall '-P 4n 2n'
loop_
_atom_site_label
_atom_site_fract_x
_atom_site_fract_y
_atom_site_fract_z
Ta1 0.061 0.263 0.000
Ta2 0.185 0.815 0.251
Re1 0.000 0.000 0.000
Re2 0.033 0.367 0.500
Re3 0.099 0.099 0.500
# * magnetization: 0.00 μB per formula unit
# * energy above the most stable polymorph in this dataset: 178 meV per atom
# * ΔE_f: 28 meV per atom

Record 5
# LiDy2Zn, optimized geometry, DFT PBE
data_LiDy2Zn
_chemical_formula_sum 'Li1 Dy2 Zn1'
_cell_length_a 3.3201
_cell_length_b 3.3201
_cell_length_c 11.0720
_cell_angle_alpha 90.00
_cell_angle_beta 90.00
_cell_angle_gamma 120.00
_space_group_name_H-M_alt 'P -6 m 2'
_space_group_IT_number 187
_space_group_name_Hall 'P -6 2'
loop_
_atom_site_label
_atom_site_fract_x
_atom_site_fract_y
_atom_site_fract_z
Li1 0.0000 0.0000 0.0000
Dy1 0.0000 0.0000 0.2863
Zn1 0.6667 0.3333 0.5000
# * uncorrected energy: -2.93 eV/atom
# * magnetization: 0.01 μB per formula unit

Record 6
# TaGeB4, optimized geometry, DFT PBE
data_TaGeB4
_chemical_formula_sum 'Ta1 Ge1 B4'
_cell_length_a 3.0612
_cell_length_b 3.0612
_cell_length_c 7.3810
_cell_angle_alpha 90.00
_cell_angle_beta 90.00
_cell_angle_gamma 120.00
_space_group_name_H-M_alt 'P 6/m m m'
_space_group_IT_number 191
_space_group_name_Hall '-P 6 2'
loop_
_atom_site_label
_atom_site_fract_x
_atom_site_fract_y
_atom_site_fract_z
Ta1 0.0000 0.0000 0.0000
Ge1 0.0000 0.0000 0.5000
B1 0.3333 0.6667 0.2280
# * magnetization: 0.00 μB per formula unit
# * energy above the most stable polymorph in this dataset: 0 meV per atom

Record 7
# MgTlZnCu, optimized geometry, DFT PBE
data_MgTlZnCu
_chemical_formula_sum 'Mg4 Tl4 Zn4 Cu4'
_cell_length_a 6.690
_cell_length_b 6.690
_cell_length_c 6.690
_cell_angle_alpha 90.00
_cell_angle_beta 90.00
_cell_angle_gamma 90.00
_space_group_name_H-M_alt 'F -4 3 m'
_space_group_IT_number 216
_space_group_name_Hall 'F -4 2 3'
loop_
_atom_site_label
_atom_site_fract_x
_atom_site_fract_y
_atom_site_fract_z
Mg1 0.000 0.000 0.000
Tl1 0.000 0.000 0.500
Zn1 0.250 0.250 0.250
Cu1 0.250 0.250 0.750
# * energy above the most stable polymorph in this dataset: 3 meV per atom

Record 8
# MgScAsOs, optimized geometry, DFT PBE
data_MgScAsOs
_chemical_formula_sum 'Mg4 Sc4 As4 Os4'
_cell_length_a 6.478
_cell_length_b 6.478
_cell_length_c 6.478
_cell_angle_alpha 90.00
_cell_angle_beta 90.00
_cell_angle_gamma 90.00
_space_group_name_H-M_alt 'F -4 3 m'
_space_group_IT_number 216
_space_group_name_Hall 'F -4 2 3'
loop_
_atom_site_label
_atom_site_fract_x
_atom_site_fract_y
_atom_site_fract_z
Mg1 0.000 0.000 0.000
Sc1 0.000 0.000 0.500
As1 0.250 0.250 0.750
Os1 0.250 0.250 0.250
# * magnetization: 0.00 μB per formula unit
# * energy above the most stable polymorph in this dataset: 0 meV per atom

Record 9
# PmCdIn, optimized geometry, DFT PBE
data_PmCdIn
_chemical_formula_sum 'Pm4 Cd4 In4'
_cell_length_a 7.235
_cell_length_b 7.235
_cell_length_c 7.235
_cell_angle_alpha 90.00
_cell_angle_beta 90.00
_cell_angle_gamma 90.00
_space_group_name_H-M_alt 'F -4 3 m'
_space_group_IT_number 216
_space_group_name_Hall 'F -4 2 3'
loop_
_atom_site_label
_atom_site_fract_x
_atom_site_fract_y
_atom_site_fract_z
Pm1 0.000 0.000 0.000
Cd1 0.250 0.250 0.750
In1 0.250 0.250 0.250
# * magnetization: 0.01 μB per formula unit
# * energy above the most stable polymorph in this dataset: 459 meV per atom

Record 10
# DyYPd2, optimized geometry, DFT PBE
data_DyYPd2
_chemical_formula_sum 'Dy2 Y2 Pd4'
_cell_length_a 5.686
_cell_length_b 4.498
_cell_length_c 6.916
_cell_angle_alpha 90.00
_cell_angle_beta 90.15
_cell_angle_gamma 90.00
_space_group_name_H-M_alt 'P 1 21/m 1'
_space_group_IT_number 11
loop_
_space_group_symop_operation_xyz
'x,y,z'
'-x,-y,-z'
'-x,y+1/2,-z'
'x,-y+1/2,z'
loop_
_atom_site_label
_atom_site_fract_x
_atom_site_fract_y
_atom_site_fract_z
Dy1 0.142 0.250 0.318
Y1 0.357 0.250 0.818
Pd1 0.153 0.750 0.043
Pd2 0.344 0.750 0.540
# * magnetization: 0.01 μB per formula unit
# * ΔE_f: -918 meV per atom

Record 11
# KLuZnS3, optimized geometry, DFT PBE
data_KLuZnS3
_chemical_formula_sum 'K4 Lu4 Zn4 S12'
_cell_length_a 17.007
_cell_length_b 3.947
_cell_length_c 8.396
_cell_angle_alpha 90.00
_cell_angle_beta 102.67
_cell_angle_gamma 90.00
_space_group_name_H-M_alt 'C 1 2/m 1'
_space_group_IT_number 12
loop_
_space_group_symop_operation_xyz
'x,y,z'
'-x,-y,-z'
'-x,y,-z'
'x,-y,z'
'x+1/2,y+1/2,z'
'-x+1/2,-y+1/2,-z'
'-x+1/2,y+1/2,-z'
'x+1/2,-y+1/2,z'
loop_
_atom_site_label
_atom_site_fract_x
_atom_site_fract_y
_atom_site_fract_z
K1 0.145 0.000 0.072
Lu1 0.170 0.000 0.576
Zn1 0.020 0.500 0.733
S1 0.000 0.000 0.500
S2 0.000 0.500 0.000
S3 0.161 0.500 0.785
S4 0.170 0.500 0.365
# * uncorrected energy: -4.56 eV/atom
# * magnetization: 0.00 μB per formula unit